--- one ---
Sr4TlAg3 PBE-GGA optimized geometry; magnetization = 0.000 μB/f.u.
1.0
5.4280 0.0000 -1.4652
-0.3908 5.4191 -1.4476
-0.5198 -0.6009 8.8612
Ag Sr Tl
3 4 1
Direct
0.0000 0.5000 0.0000 Ag
0.7485 0.2486 0.4970 Ag
0.2515 0.7514 0.5030 Ag
0.6265 0.6268 0.2530 Sr
0.3735 0.3732 0.7470 Sr
0.8735 0.8732 0.7470 Sr
0.1265 0.1268 0.2530 Sr
0.5000 0.0000 0.0000 Tl

---

--- two ---
Sr4TlAg3 PBE-GGA optimized geometry; magnetization = 0.000 μB/f.u.
1.0
4.3547 0.0000 0.0000
0.0000 4.9914 0.0000
0.0000 0.0000 12.2086
Sr Ag Tl
4 3 1
Direct
0.5000 0.0000 0.6389 Sr
0.5000 0.5000 0.3644 Sr
0.0000 0.5000 0.8531 Sr
0.0000 0.0000 0.1429 Sr
0.5000 0.0000 0.9228 Ag
0.0000 0.5000 0.5703 Ag
0.0000 0.0000 0.4322 Ag
0.5000 0.5000 0.0756 Tl

---

Q: What are the energies relative to the best structure? A: one 0.025; two 0.000, in eV/atom.

---

--- one ---
Sr6Tl2Ag PBE-GGA optimized geometry; magnetization = 0.003 μB/f.u.
1.0
6.9608 0.0000 0.2704
0.0000 9.6675 0.0000
-0.4803 0.0000 11.0630
Sr Tl Ag
12 4 2
Direct
0.6039 0.4661 0.2733 Sr
0.1180 0.3340 0.0683 Sr
0.8961 0.9661 0.2267 Sr
0.1162 0.3194 0.4374 Sr
0.1039 0.0339 0.7733 Sr
0.8838 0.6806 0.5626 Sr
0.6180 0.1660 0.5683 Sr
0.3961 0.5339 0.7267 Sr
0.6162 0.1806 0.9374 Sr
0.3838 0.8194 0.0626 Sr
0.3820 0.8340 0.4317 Sr
0.8820 0.6660 0.9317 Sr
0.5621 0.8760 0.7556 Tl
0.9379 0.3760 0.7444 Tl
0.0621 0.6240 0.2556 Tl
0.4379 0.1240 0.2444 Tl
0.5000 0.5000 0.0000 Ag
0.0000 0.0000 0.5000 Ag

---

--- two ---
Sr6Tl2Ag PBE-GGA optimized geometry; magnetization = 0.000 μB/f.u.
1.0
9.3177 1.1154 3.4137
-4.2300 8.1921 3.8359
0.0420 1.1154 9.9233
Sr Tl Ag
12 4 2
Direct
0.3423 0.0456 0.2967 Sr
0.6577 0.3609 0.2967 Sr
0.4310 0.2319 0.8010 Sr
0.8210 0.7149 0.4641 Sr
0.9671 0.7681 0.8010 Sr
0.8210 0.2851 0.8940 Sr
0.6577 0.9544 0.7033 Sr
0.5690 0.7681 0.1990 Sr
0.3423 0.6391 0.7033 Sr
0.0329 0.2319 0.1990 Sr
0.1790 0.7149 0.1060 Sr
0.1790 0.2851 0.5359 Sr
0.3391 0.0000 0.6609 Tl
0.1347 0.6347 0.5000 Tl
0.8653 0.3653 0.5000 Tl
0.6609 0.0000 0.3391 Tl
0.0000 0.0000 0.0000 Ag
0.5000 0.5000 0.0000 Ag

---

Q: What are the energies relative to the best structure? A: one 0.000; two 0.037, in eV/atom.

---

--- one ---
SrTmAg2 PBE-GGA optimized geometry; magnetization = 0.000 μB/f.u.
1.0
-2.0586 1.6018 2.5431
-2.0730 -4.7450 1.3106
3.8887 -0.7065 3.5929
Ag Tm Sr
2 1 1
Direct
0.0000 0.0000 0.5000 Ag
0.0000 0.5000 0.0000 Ag
0.5000 0.5000 0.5000 Tm
0.5000 0.0000 0.0000 Sr

---

--- two ---
SrTmAg2 PBE-GGA optimized geometry; magnetization = 0.000 μB/f.u.
1.0
-0.9343 5.1895 -0.4442
-2.4577 2.5897 3.9057
2.6855 3.4377 2.9952
Ag Tm Sr
2 1 1
Direct
0.2500 0.2500 0.2500 Ag
0.7500 0.7500 0.7500 Ag
0.5000 0.5000 0.5000 Tm
0.0000 0.0000 0.0000 Sr

---

--- three ---
SrTmAg2 PBE-GGA optimized geometry; magnetization = 0.000 μB/f.u.
1.0
3.7203 0.0000 0.0000
0.0000 3.7203 0.0000
0.0000 0.0000 7.6507
Tm Sr Ag
1 1 2
Direct
0.5000 0.5000 0.0000 Tm
0.5000 0.5000 0.5000 Sr
0.0000 0.0000 0.2068 Ag
0.0000 0.0000 0.7932 Ag

---

Q: What are the energies relative to the best structure? A: one 0.057; two 0.092; three 0.000, in eV/atom.